Here is an optimized crystal structure of KRb2FeF6 from the Alexandria database. Energies are from GGA+U.

a = 9.0188 Å, b = 9.0188 Å, c = 9.0188 Å
α = 90.00°, β = 90.00°, γ = 90.00°
Last column: nearest neighbours and their distance in Å.
Space group Fm-3m (No. 225)
Inequivalent atoms, fractional coordinates:
K: 0.0000 0.0000 0.0000  6 F 2.55
Rb: 0.2500 0.2500 0.2500  12 F 3.20
Fe: 0.0000 0.0000 0.5000  6 F 1.96
F: 0.0000 0.0000 0.2823  1 Fe 1.96

Summary:
spin magnetization = 5.00 μB/f.u.
total DFT energy (no corrections) = -4.735 eV/atom